Record 1
VASP calculation (PBE) on a relaxed structure of Cs2MgGeI6.

Output
uncorrected formation energy = -10.3 eV/f.u.

Unit cell a=15.045 b=15.045 c=15.045 alpha=32.68 beta=32.68 gamma=32.68
Positions (direct):
Cs1 0.117 0.117 0.117
Cs2 0.298 0.298 0.298
Cs3 0.702 0.702 0.702
Cs4 0.883 0.883 0.883
Mg1 0.000 0.000 0.000
Mg2 0.500 0.500 0.500
Ge1 0.416 0.416 0.416
Ge2 0.584 0.584 0.584
I1 0.138 0.618 0.618
I2 0.204 0.204 0.713
I3 0.204 0.713 0.204
I4 0.287 0.796 0.796
I5 0.382 0.382 0.862
I6 0.382 0.862 0.382
I7 0.618 0.138 0.618
I8 0.618 0.618 0.138
I9 0.713 0.204 0.204
I10 0.796 0.287 0.796
I11 0.796 0.796 0.287
I12 0.862 0.382 0.382

Record 2
VASP calculation (PBE) on a relaxed structure of Rb2Tl2PbSe4.

Output
uncorrected formation energy = -5.5 eV/f.u.

Unit cell a=8.610 b=8.610 c=7.823 alpha=105.84 beta=105.84 gamma=34.93
Positions (direct):
Rb1 0.128 0.128 0.066
Rb2 0.872 0.872 0.934
Tl1 0.336 0.336 0.454
Tl2 0.664 0.664 0.546
Pb1 0.000 0.000 0.500
Se1 0.201 0.201 0.680
Se2 0.481 0.481 0.742
Se3 0.519 0.519 0.258
Se4 0.799 0.799 0.320

Record 3
VASP calculation (PBE) on a relaxed structure of Al2InMo.

Output
E_form = 0.6 eV/f.u.

Unit cell a=3.716 b=4.138 c=4.383 alpha=90.00 beta=90.00 gamma=90.00
Positions (direct):
Al1 0.000 0.000 0.000
Al2 0.000 0.500 0.500
In1 0.500 0.000 0.500
Mo1 0.500 0.500 0.000

Record 4
VASP calculation (PBE) on a relaxed structure of Th2CuB3Pt12.

Output
E_form = -8.8 eV/f.u.

Unit cell a=7.375 b=7.375 c=7.375 alpha=65.19 beta=65.19 gamma=65.19
Positions (direct):
Th1 0.112 0.112 0.112
Th2 0.888 0.888 0.888
Cu1 0.500 0.500 0.500
B1 0.000 0.500 0.500
B2 0.500 0.000 0.500
B3 0.500 0.500 0.000
Pt1 0.121 0.623 0.623
Pt2 0.171 0.171 0.591
Pt3 0.171 0.591 0.171
Pt4 0.377 0.377 0.879
Pt5 0.377 0.879 0.377
Pt6 0.409 0.829 0.829
Pt7 0.591 0.171 0.171
Pt8 0.623 0.121 0.623
Pt9 0.623 0.623 0.121
Pt10 0.829 0.409 0.829
Pt11 0.829 0.829 0.409
Pt12 0.879 0.377 0.377

Record 5
VASP calculation (PBE) on a relaxed structure of Al2InSn.

Output
E_form = 0.8 eV/f.u.

Unit cell a=4.538 b=4.538 c=4.338 alpha=90.00 beta=90.00 gamma=90.00
Positions (direct):
Al1 0.000 0.500 0.000
Al2 0.500 0.000 0.000
In1 0.000 0.000 0.500
Sn1 0.500 0.500 0.500

Record 6
VASP calculation (PBE) on a relaxed structure of NaNiSe.

Output
uncorrected formation energy = -1.5 eV/f.u.

Unit cell a=3.951 b=3.951 c=4.454 alpha=90.00 beta=90.00 gamma=120.00
Positions (direct):
Na1 0.000 0.000 0.000
Ni1 0.667 0.333 0.500
Se1 0.333 0.667 0.500

no.,density of states at the Fermi level (states/eV/f.u.),total magnetic moment (μB per atom),uncorrected energy (eV/atom)
1,0.00,0.000,-2.75
2,0.93,0.000,-3.31
3,2.54,0.100,-5.12
4,9.35,0.000,-6.68
5,1.62,0.000,-3.37
6,1.79,0.000,-4.04